#A
Material: SrOsI2O
Method: DFT, PBE-GGA
State: relaxed

Lattice parameters (Å, degrees): 5.809 5.809 3.824 90.00 90.00 90.00
Site moments in Bohr magnetons follow the coordinates.
Fractional positions:
I: 0.000 0.500 0.000  0.00
I: 0.500 0.000 0.000  0.00
Sr: 0.500 0.500 0.500  0.00
Os: 0.000 0.000 0.000  0.15
O: 0.000 0.000 0.500  0.03

## Properties
Volume = 129.0 Å³ per cell
D(E_F) = 0.804 states/eV per atom
SG = P4/mmm


#B
Material: SrOsI2O
Method: DFT, PBE-GGA
State: relaxed

Lattice parameters (Å, degrees): 6.393 6.393 4.246 90.00 90.00 90.00
Site moments in Bohr magnetons follow the coordinates.
Fractional positions:
I: 0.000 0.500 0.000  0.13
I: 0.500 0.000 0.000  0.13
Sr: 0.000 0.000 0.000  0.00
Os: 0.500 0.500 0.500  3.59
O: 0.000 0.000 0.500  0.01

## Properties
Volume = 173.5 Å³ per cell
D(E_F) = 0.975 states/eV per atom
SG = P4/mmm


Stability ranking, top entry: #A; the second entry is 117.6 kJ/mol of atoms less favorable.